No. 1
Here is a geometry-optimized K4La3PmSe8 structure from Alexandria via LeMat-Bulk. Energies are from PBE-GGA.

Lattice parameters (Å, degrees): 9.221 9.221 9.221 57.19 57.19 57.19
Fractional positions:
K: 0.000 0.000 0.000
K: 0.000 0.500 0.500
K: 0.500 0.000 0.500
K: 0.500 0.500 0.000
La: 0.000 0.000 0.500
La: 0.000 0.500 0.000
La: 0.500 0.000 0.000
Pm: 0.500 0.500 0.500
Se: 0.237 0.237 0.237
Se: 0.242 0.734 0.734
Se: 0.266 0.266 0.758
Se: 0.266 0.758 0.266
Se: 0.734 0.242 0.734
Se: 0.734 0.734 0.242
Se: 0.758 0.266 0.266
Se: 0.763 0.763 0.763

Values from the calculation:
- theoretical density (g cm⁻³) = 4.32
- formation energy from raw total energies (eV per atom) = -1.813

=====

No. 2
Here is a geometry-optimized K2LaPmSe4 structure from Alexandria via LeMat-Bulk. Energies are from PBE-GGA.

Lattice parameters (Å, degrees): 7.591 4.381 8.098 90.00 108.18 90.00
Fractional positions:
K: 0.000 0.000 0.000
K: 0.500 0.500 0.000
La: 0.000 0.500 0.500
Pm: 0.500 0.000 0.500
Se: 0.242 0.000 0.711
Se: 0.268 0.500 0.290
Se: 0.732 0.500 0.710
Se: 0.758 0.000 0.289

Values from the calculation:
- theoretical density (g cm⁻³) = 4.40
- formation energy from raw total energies (eV per atom) = -1.795

=====

No. 3
Here is a geometry-optimized KLa2PmSe4 structure from Alexandria via LeMat-Bulk. Energies are from PBE-GGA.

Lattice parameters (Å, degrees): 7.482 4.313 7.598 90.00 109.07 90.00
Fractional positions:
K: 0.000 0.000 0.000
La: 0.500 0.000 0.500
La: 0.500 0.500 0.000
Pm: 0.000 0.500 0.500
Se: 0.248 0.000 0.742
Se: 0.259 0.500 0.264
Se: 0.741 0.500 0.736
Se: 0.752 0.000 0.258

Values from the calculation:
- theoretical density (g cm⁻³) = 5.57
- formation energy from raw total energies (eV per atom) = -1.828

=====

No. 4
Here is a geometry-optimized KLaPm2Se4 structure from Alexandria via LeMat-Bulk. Energies are from PBE-GGA.

Lattice parameters (Å, degrees): 7.445 4.252 7.556 90.00 108.67 90.00
Fractional positions:
K: 0.000 0.000 0.000
La: 0.500 0.500 0.000
Pm: 0.000 0.500 0.500
Pm: 0.500 0.000 0.500
Se: 0.251 0.000 0.739
Se: 0.263 0.500 0.268
Se: 0.737 0.500 0.732
Se: 0.749 0.000 0.261

Values from the calculation:
- theoretical density (g cm⁻³) = 5.74
- formation energy from raw total energies (eV per atom) = -1.809